VASP calculation (PBE) on a geometry-optimized LaCe2Pr3Y6 structure.

Lattice parameters (Å, degrees): 6.2739 6.2739 11.8708 95.05 95.05 120.01
With the nearest neighbours (Å) after each atom.
Sites, in units of the cell vectors:
La: 0.0000 0.0000 0.0000  6 Y 3.57, 6 Ce 3.62
Ce: 0.3333 0.6667 0.0000  6 Y 3.55-3.56, 3 Ce 3.62, 3 La 3.62
Ce: 0.6667 0.3333 0.0000  6 Y 3.55-3.56, 3 Ce 3.62, 3 La 3.62
Pr: 0.1663 0.8337 0.5000  6 Pr 3.61-3.63, 6 Y 3.62-3.63
Pr: 0.5000 0.5000 0.5000  6 Y 3.61-3.63, 6 Pr 3.62-3.63
Pr: 0.8337 0.1663 0.5000  6 Pr 3.61-3.63, 6 Y 3.62-3.63
Y: 0.0823 0.4185 0.2466  2 Ce 3.55-3.56, 1 La 3.57, 6 Y 3.61-3.65, 3 Pr 3.62-3.63
Y: 0.2539 0.2539 0.7534  2 Ce 3.56, 1 La 3.57, 6 Y 3.61-3.65, 3 Pr 3.61-3.63
Y: 0.4185 0.0823 0.2466  2 Ce 3.55-3.56, 1 La 3.57, 6 Y 3.61-3.65, 3 Pr 3.62-3.63
Y: 0.5815 0.9177 0.7534  2 Ce 3.55-3.56, 1 La 3.57, 6 Y 3.61-3.65, 3 Pr 3.62-3.63
Y: 0.7461 0.7461 0.2466  2 Ce 3.56, 1 La 3.57, 6 Y 3.61-3.65, 3 Pr 3.61-3.63
Y: 0.9177 0.5815 0.7534  2 Ce 3.55-3.56, 1 La 3.57, 6 Y 3.61-3.65, 3 Pr 3.62-3.63

## Properties
**Crystal system**: monoclinic
**Total magnetic moment**: 2.0 μB per cell
**Energy relative to the elements**: 0.045 eV per atom
**DFT total energy**: -5.781 eV/atom

---

VASP calculation (PBE) on a geometry-optimized La2CePr3Y6 structure.

Lattice parameters (Å, degrees): 6.3210 6.3210 11.9125 95.07 95.07 120.00
With the nearest neighbours (Å) after each atom.
Sites, in units of the cell vectors:
La: 0.1666 0.8334 0.0000  6 Y 3.60-3.61, 3 La 3.65, 3 Ce 3.65
La: 0.8334 0.1666 0.0000  6 Y 3.60-3.61, 3 La 3.65, 3 Ce 3.65
Ce: 0.5000 0.5000 0.0000  6 Y 3.59, 6 La 3.65
Pr: 0.0000 0.0000 0.5000  6 Y 3.62-3.63, 6 Pr 3.64-3.65
Pr: 0.3329 0.6671 0.5000  6 Y 3.61-3.63, 6 Pr 3.64-3.66
Pr: 0.6671 0.3329 0.5000  6 Y 3.61-3.63, 6 Pr 3.64-3.66
Y: 0.0866 0.4172 0.7510  1 Ce 3.59, 2 La 3.61, 3 Pr 3.61-3.63, 6 Y 3.62-3.66
Y: 0.2522 0.2522 0.2490  1 Ce 3.59, 2 La 3.60, 3 Pr 3.62-3.63, 6 Y 3.62-3.66
Y: 0.4172 0.0866 0.7510  1 Ce 3.59, 2 La 3.61, 3 Pr 3.61-3.63, 6 Y 3.62-3.66
Y: 0.5828 0.9134 0.2490  1 Ce 3.59, 2 La 3.61, 3 Pr 3.61-3.63, 6 Y 3.62-3.66
Y: 0.7478 0.7478 0.7510  1 Ce 3.59, 2 La 3.60, 3 Pr 3.62-3.63, 6 Y 3.62-3.66
Y: 0.9134 0.5828 0.2490  1 Ce 3.59, 2 La 3.61, 3 Pr 3.61-3.63, 6 Y 3.62-3.66

## Properties
**Crystal system**: monoclinic
**Total magnetic moment**: 1.1 μB per cell
**Energy relative to the elements**: 0.029 eV per atom
**DFT total energy**: -5.713 eV/atom

---

VASP calculation (PBE) on a geometry-optimized LaCePr2Y2 structure.

Lattice parameters (Å, degrees): 6.6939 17.9427 3.4108 90.00 90.00 90.00
With the nearest neighbours (Å) after each atom.
Sites, in units of the cell vectors:
La: 0.0000 0.0000 0.0000  2 Pr 3.30, 2 La 3.41, 2 Y 3.55
La: 0.5000 0.5000 0.5000  2 Pr 3.30, 2 La 3.41, 2 Y 3.55
Ce: 0.0000 0.5000 0.0000  2 Ce 3.41, 4 Pr 3.47, 4 La 3.76
Ce: 0.5000 0.0000 0.5000  2 Ce 3.41, 4 Pr 3.47, 4 La 3.76
Pr: 0.2117 0.3510 0.5000  1 La 3.30, 4 Y 3.34-3.51, 2 Pr 3.41, 2 Ce 3.47
Pr: 0.2883 0.8510 0.0000  1 La 3.30, 4 Y 3.34-3.51, 2 Pr 3.41, 2 Ce 3.47
Pr: 0.7117 0.1490 0.0000  1 La 3.30, 4 Y 3.34-3.51, 2 Pr 3.41, 2 Ce 3.47
Pr: 0.7883 0.6490 0.5000  1 La 3.30, 4 Y 3.34-3.51, 2 Pr 3.41, 2 Ce 3.47
Y: 0.2190 0.1801 0.0000  4 Pr 3.34-3.51, 2 Y 3.41, 1 La 3.55
Y: 0.2810 0.6801 0.5000  4 Pr 3.34-3.51, 2 Y 3.41, 1 La 3.55
Y: 0.7190 0.3199 0.5000  4 Pr 3.34-3.51, 2 Y 3.41, 1 La 3.55
Y: 0.7810 0.8199 0.0000  4 Pr 3.34-3.51, 2 Y 3.41, 1 La 3.55

## Properties
**Crystal system**: orthorhombic
**Total magnetic moment**: 1.4 μB per cell
**Energy relative to the elements**: 0.265 eV per atom
**DFT total energy**: -5.293 eV/atom

---

VASP calculation (PBE) on a geometry-optimized LaCePrZn structure.

Lattice parameters (Å, degrees): 5.4079 5.4079 5.4079 60.00 60.00 60.00
With the nearest neighbours (Å) after each atom.
Sites, in units of the cell vectors:
La: 0.0000 0.0000 0.0000  4 Ce 3.31, 4 Zn 3.31
Ce: 0.7500 0.7500 0.7500  4 Pr 3.31, 4 La 3.31
Pr: 0.5000 0.5000 0.5000  4 Zn 3.31, 4 Ce 3.31
Zn: 0.2500 0.2500 0.2500  4 Pr 3.31, 4 La 3.31

## Properties
**Crystal system**: cubic
**Total magnetic moment**: 2.4 μB per cell
**Energy relative to the elements**: 0.089 eV per atom
**DFT total energy**: -4.140 eV/atom

---

VASP calculation (PBE) on a geometry-optimized La3Ce2Pt3 structure.

Lattice parameters (Å, degrees): 6.9244 14.8532 8.4624 90.00 90.00 90.00
With the nearest neighbours (Å) after each atom.
Sites, in units of the cell vectors:
La: 0.0059 0.0825 0.2168  6 Pt 3.08-3.23
La: 0.0059 0.4175 0.2168  6 Pt 3.08-3.23
La: 0.2398 0.2500 0.5011  3 Pt 3.02-3.15
La: 0.2602 0.7500 0.0011  3 Pt 3.02-3.15
La: 0.4941 0.5825 0.7168  6 Pt 3.08-3.23
La: 0.4941 0.9175 0.7168  6 Pt 3.08-3.23
La: 0.5059 0.0825 0.2832  6 Pt 3.08-3.23
La: 0.5059 0.4175 0.2832  6 Pt 3.08-3.23
La: 0.7398 0.2500 0.9989  3 Pt 3.02-3.15
La: 0.7602 0.7500 0.4989  3 Pt 3.02-3.15
La: 0.9941 0.5825 0.7832  6 Pt 3.08-3.23
La: 0.9941 0.9175 0.7832  6 Pt 3.08-3.23
Ce: 0.2161 0.6267 0.3678  4 Pt 2.88-3.14
Ce: 0.2161 0.8733 0.3678  4 Pt 2.88-3.14
Ce: 0.2839 0.1267 0.8678  4 Pt 2.88-3.14
Ce: 0.2839 0.3733 0.8678  4 Pt 2.88-3.14
Ce: 0.7161 0.6267 0.1322  4 Pt 2.88-3.14
Ce: 0.7161 0.8733 0.1322  4 Pt 2.88-3.14
Ce: 0.7839 0.1267 0.6322  4 Pt 2.88-3.14
Ce: 0.7839 0.3733 0.6322  4 Pt 2.88-3.14
Pt: 0.1957 0.0500 0.5563  3 Ce 2.94-3.14, 5 La 3.02-3.20, 1 Pt 3.23
Pt: 0.1957 0.4500 0.5563  3 Ce 2.94-3.14, 5 La 3.02-3.20, 1 Pt 3.23
Pt: 0.2243 0.7500 0.6302  2 Ce 2.88, 3 La 3.15-3.20
Pt: 0.2757 0.2500 0.1302  2 Ce 2.88, 3 La 3.15-3.20
Pt: 0.3043 0.5500 0.0563  3 Ce 2.94-3.14, 5 La 3.02-3.20, 1 Pt 3.23
Pt: 0.3043 0.9500 0.0563  3 Ce 2.94-3.14, 5 La 3.02-3.20, 1 Pt 3.23
Pt: 0.6957 0.0500 0.9437  3 Ce 2.94-3.14, 5 La 3.02-3.20, 1 Pt 3.23
Pt: 0.6957 0.4500 0.9437  3 Ce 2.94-3.14, 5 La 3.02-3.20, 1 Pt 3.23
Pt: 0.7243 0.7500 0.8698  2 Ce 2.88, 3 La 3.15-3.20
Pt: 0.7757 0.2500 0.3698  2 Ce 2.88, 3 La 3.15-3.20
Pt: 0.8043 0.5500 0.4437  3 Ce 2.94-3.14, 5 La 3.02-3.20, 1 Pt 3.23
Pt: 0.8043 0.9500 0.4437  3 Ce 2.94-3.14, 5 La 3.02-3.20, 1 Pt 3.23

## Properties
**Crystal system**: orthorhombic
**Total magnetic moment**: 6.2 μB per cell
**Energy relative to the elements**: -0.841 eV per atom
**DFT total energy**: -6.438 eV/atom

---

VASP calculation (PBE) on a geometry-optimized La2CePt3 structure.

Lattice parameters (Å, degrees): 7.3086 7.3086 7.3086 146.48 131.84 59.95
With the nearest neighbours (Å) after each atom.
Sites, in units of the cell vectors:
La: 0.1670 0.1670 0.0000  6 Pt 2.98-3.05
La: 0.8330 0.8330 0.0000  6 Pt 2.98-3.05
Ce: 0.5000 0.5000 0.0000  6 Pt 2.92-2.98
Pt: 0.0000 0.5000 0.5000  2 Ce 2.98, 4 La 2.99
Pt: 0.3409 0.8409 0.5000  2 Ce 2.92, 4 La 2.98-3.05
Pt: 0.6591 0.1591 0.5000  2 Ce 2.92, 4 La 2.98-3.05

## Properties
**Crystal system**: orthorhombic
**Total magnetic moment**: 0.5 μB per cell
**Energy relative to the elements**: -1.124 eV per atom
**DFT total energy**: -6.776 eV/atom